Below is a geometry-optimized TeSeI2N structure, with properties calculated at the PBE-GGA level.

Formation energy (no corrections)   983 meV per atom
Electronic total energy   -13.14 eV per formula unit

```
data_TeSeI2N
_symmetry_space_group_name_H-M 'P 4/m m m'
_symmetry_Int_Tables_number 123
_symmetry_space_group_name_Hall '-P 4 2'
_cell_length_a 6.276
_cell_length_b 6.276
_cell_length_c 3.998
_cell_angle_alpha 90.00
_cell_angle_beta 90.00
_cell_angle_gamma 90.00
loop_
_atom_site_label
_atom_site_type_symbol
_atom_site_fract_x
_atom_site_fract_y
_atom_site_fract_z
Te1 Te 0.000 0.000 0.000
Se1 Se 0.500 0.500 0.500
I1 I 0.000 0.500 0.000
N1 N 0.000 0.000 0.500
```